DFT (PBE-GGA) results for a relaxed MgMn2Au crystal.

Geometry as extended XYZ:
```
8
Lattice="7.4555 0.0000 0.0000 0.0000 7.4555 0.0000 3.7278 3.7278 2.6976" Properties=species:S:1:pos:R:3 pbc="T T T"
Mg 3.7278 3.7278 0.0000
Mg 3.7278 7.4555 1.3488
Mn 5.7943 1.8639 0.6744
Mn 1.6612 5.5917 0.6744
Mn 5.5917 5.3890 2.0232
Mn 9.3194 9.5221 2.0232
Au 0.0000 0.0000 0.0000
Au 7.4555 3.7278 1.3488
```

Calculated values
The calculation puts the density at 7.33 g/cm3. The calculation puts the magnetization at 7.69 μB per formula unit. The formation energy comes out at 386.9 meV/atom. Its symmetry is I-42d, No. 122.